Here is a relaxed Y2UNi9 crystal from Alexandria via LeMat-Bulk. Energies are from PBE-GGA.

**Crystal system**: trigonal
**Calculated formation energy**: -0.32 eV per atom

Cell: 4.9322 4.9322 24.5099 Å, 90.00 90.00 120.00°
Last column: nearest neighbours and their distance in Å.
Space group R-3m (No. 166, hexagonal axes)
One atom of each set of equivalent atoms:
1 Y 0.0000 0.0000 0.1391 x6  12 Ni 2.84-3.11, 3 Y 3.15
2 U 0.0000 0.0000 0.0000 x3  18 Ni 2.85-3.17
3 Ni 0.0000 0.0000 0.3331 x6  6 Ni 2.45-2.46
4 Ni 0.0000 0.0000 0.5000 x3  6 Ni 2.53
5 Ni 0.9998 0.4999 0.0816 x18  7 Ni 2.45-2.53

---

Here is a relaxed Ho2MnGa3Ni12 crystal from Alexandria via LeMat-Bulk. Energies are from PBE-GGA.

**Crystal system**: trigonal
**Calculated formation energy**: 0.01 eV per atom

Cell: 6.0327 6.0327 25.3516 Å, 90.00 90.00 120.00°
Last column: nearest neighbours and their distance in Å.
Space group R-3m (No. 166, hexagonal axes)
One atom of each set of equivalent atoms:
1 Ho 0.0000 0.0000 0.1508 x6  6 Ni 2.90
2 Mn 0.0000 0.0000 0.5000 x3  6 Ni 2.30
3 Ga 0.0000 0.5000 0.0000 x9  6 Ni 2.33-2.51
4 Ni 0.0437 0.5219 0.0984 x18  1 Mn 2.30, 2 Ni 2.39, 1 Ga 2.51
5 Ni 0.0712 0.5356 0.6168 x18  2 Ga 2.33, 4 Ni 2.37-2.39

---

Here is a relaxed La2TbSnN crystal from Alexandria via LeMat-Bulk. Energies are from PBE-GGA.

**Raw formation energy**: -1005 meV/atom
**Crystal system**: tetragonal

Cell: 5.0978 5.0978 4.8824 Å, 90.00 90.00 90.00°
Last column: nearest neighbours and their distance in Å.
Space group P4/mmm (No. 123)
One atom of each set of equivalent atoms:
1 La 0.0000 0.5000 0.0000 x2  2 N 2.55
2 Tb 0.0000 0.0000 0.5000 x1  2 N 2.44
3 Sn 0.5000 0.5000 0.5000 x1  8 La 3.53, 4 Tb 3.60
4 N 0.0000 0.0000 0.0000 x1  2 Tb 2.44, 4 La 2.55

---

Here is a relaxed InAgSbI2 crystal from Alexandria via LeMat-Bulk. Energies are from PBE-GGA.

**Raw formation energy**: 189 meV/atom
**Polymorph energy (0 for the lowest one)**: 0.000 eV/atom
**Crystal system**: tetragonal

Cell: 5.9182 5.9182 5.3977 Å, 90.00 90.00 90.00°
Last column: nearest neighbours and their distance in Å.
Space group P4/mmm (No. 123)
One atom of each set of equivalent atoms:
1 In 0.0000 0.0000 0.0000 x1  8 I 4.00, 4 Sb 4.18
2 Ag 0.5000 0.5000 0.5000 x1  2 Sb 2.70, 4 I 2.96
3 Sb 0.5000 0.5000 0.0000 x1  2 Ag 2.70
4 I 0.0000 0.5000 0.5000 x2  2 Ag 2.96

---

Here is a relaxed YW5 crystal from Alexandria via LeMat-Bulk. Energies are from PBE-GGA.

**Polymorph energy (0 for the lowest one)**: 0.007 eV/atom
**Crystal system**: cubic
**Calculated formation energy**: 0.27 eV per atom

Cell: 7.6094 7.6094 7.6094 Å, 90.00 90.00 90.00°
Last column: nearest neighbours and their distance in Å.
Space group F-43m (No. 216)
One atom of each set of equivalent atoms:
1 Y 0.0000 0.0000 0.0000 x4  16 W 3.16-3.29
2 W 0.1247 0.1247 0.3753 x16  6 W 2.68-2.70
3 W 0.2500 0.2500 0.7500 x4  12 W 3.15, 4 Y 3.29

---

Here is a relaxed CoSiOs2 crystal from Alexandria via LeMat-Bulk. Energies are from PBE-GGA.

**Raw formation energy**: -5 meV/atom
**Crystal system**: orthorhombic

Cell: 2.7356 3.6657 5.1623 Å, 90.00 90.00 90.00°
Last column: nearest neighbours and their distance in Å.
Space group Pmm2 (No. 25)
One atom of each set of equivalent atoms:
1 Co 0.0000 0.0000 0.0000 x1  6 Os 2.52-2.65, 4 Si 2.54, 2 Co 2.74
2 Si 0.5000 0.5000 0.7853 x1  6 Os 2.45-2.71, 4 Co 2.54, 2 Si 2.74
3 Os 0.0000 0.0000 0.5117 x1  2 Co 2.52-2.64, 6 Os 2.63-2.74, 4 Si 2.69
4 Os 0.5000 0.5000 0.2606 x1  2 Si 2.45-2.71, 6 Os 2.63-2.74, 4 Co 2.65

---

Here is a relaxed Dy2AsBr3 crystal from Alexandria via LeMat-Bulk. Energies are from PBE-GGA.

**Raw formation energy**: -1602 meV/atom
**Crystal system**: monoclinic

Cell: 17.2780 4.3127 12.8309 Å, 90.00 124.93 90.00°
Last column: nearest neighbours and their distance in Å.
Space group C2/m (No. 12)
One atom of each set of equivalent atoms:
1 Dy 0.1048 0.0000 0.4545 x4  2 As 2.83-2.84, 4 Br 2.92-3.02
2 Dy 0.1358 0.5000 0.8244 x4  2 As 2.76, 4 Br 2.84-3.08
3 As 0.0935 0.0000 0.6658 x4  4 Dy 2.76-2.84
4 Br 0.0565 0.5000 0.2609 x4  3 Dy 2.84-3.02
5 Br 0.1611 0.0000 0.0131 x4  3 Dy 2.88-3.08
6 Br 0.2370 0.5000 0.6022 x4  3 Dy 2.92-3.20

---

Here is a relaxed Cs2AsPdPt crystal from Alexandria via LeMat-Bulk. Energies are from PBE-GGA.

**Crystal system**: tetragonal
**Calculated formation energy**: 0.54 eV per atom

Cell: 6.5720 6.5720 4.9254 Å, 90.00 90.00 90.00°
Last column: nearest neighbours and their distance in Å.
Space group P4/mmm (No. 123)
One atom of each set of equivalent atoms:
1 Cs 0.0000 0.5000 0.0000 x2  2 Pd 3.29
2 As 0.0000 0.0000 0.5000 x1  8 Cs 4.11
3 Pd 0.5000 0.5000 0.0000 x1  2 Pt 2.46
4 Pt 0.5000 0.5000 0.5000 x1  2 Pd 2.46

---

| no. | spin magnetization (Bohr magnetons per cell) |
| --- | --- |
| 1 | 3.00 |
| 2 | 13.90 |
| 3 | 0.00 |
| 4 | 1.55 |
| 5 | 0.00 |
| 6 | 0.00 |
| 7 | 0.00 |
| 8 | 2.67 |